# 1
CaMnSb2: relaxed, GGA-PBE.

Values from the calculation:
Total DFT energy (no corrections) in eV for the cell shown: -20.24
Uncorrected formation energy in eV per formula unit: -0.8
Density of states at the Fermi level in states/eV per cell: 1.8

Unit cell a=3.615 b=3.615 c=7.866 alpha=90.00 beta=90.00 gamma=105.11
Last column: magnetic moment on the atom in μB.
Fractional positions:
Sb1 0.000 0.000 0.964  -0.08
Sb2 0.000 0.000 0.536  -0.08
Ca1 0.500 0.500 0.250  0.03
Mn1 0.500 0.500 0.750  3.60

---

# 2
Ca2MnSb2: relaxed, GGA-PBE.

Values from the calculation:
Total DFT energy (no corrections) in eV for the cell shown: -47.85
Uncorrected formation energy in eV per formula unit: -2.5
Density of states at the Fermi level in states/eV per cell: 3.6

Unit cell a=7.522 b=7.522 c=4.691 alpha=90.00 beta=90.00 gamma=90.00
Last column: magnetic moment on the atom in μB.
Fractional positions:
Sb1 0.350 0.850 0.000  -0.07
Sb2 0.850 0.650 0.000  -0.07
Sb3 0.650 0.150 0.000  -0.07
Sb4 0.150 0.350 0.000  -0.07
Ca1 0.163 0.663 0.500  -0.04
Ca2 0.663 0.837 0.500  -0.04
Ca3 0.837 0.337 0.500  -0.04
Ca4 0.337 0.163 0.500  -0.04
Mn1 0.000 0.000 0.000  3.67
Mn2 0.500 0.500 0.000  3.67

---

# 3
CaMn2Sb: relaxed, GGA-PBE.

Values from the calculation:
Total DFT energy (no corrections) in eV for the cell shown: -24.92
Uncorrected formation energy in eV per formula unit: -0.5
Density of states at the Fermi level in states/eV per cell: 2.6

Unit cell a=4.211 b=4.211 c=6.174 alpha=70.04 beta=70.04 gamma=60.00
Last column: magnetic moment on the atom in μB.
Fractional positions:
Sb1 0.464 0.464 0.607  0.02
Ca1 0.260 0.260 0.219  0.01
Mn1 0.061 0.061 0.818  -2.34
Mn2 0.715 0.715 0.855  3.13

---

# 4
Ca3MnSb: relaxed, GGA-PBE.

Values from the calculation:
Total DFT energy (no corrections) in eV for the cell shown: -18.52
E above lowest polymorph in meV per atom: 0.0
Uncorrected formation energy in eV per formula unit: 0.8
Density of states at the Fermi level in states/eV per cell: 2.7

Unit cell a=5.896 b=5.896 c=5.896 alpha=90.00 beta=90.00 gamma=90.00
Last column: magnetic moment on the atom in μB.
Fractional positions:
Sb1 0.000 0.000 0.000  -0.01
Ca1 0.000 0.500 0.000  -0.03
Ca2 0.000 0.000 0.500  -0.03
Ca3 0.500 0.000 0.000  -0.07
Mn1 0.500 0.500 0.500  4.32

---

# 5
CaMnSb2: relaxed, GGA-PBE.

Values from the calculation:
Total DFT energy (no corrections) in eV for the cell shown: -18.94
Uncorrected formation energy in eV per formula unit: 0.5
Density of states at the Fermi level in states/eV per cell: 3.1

Unit cell a=4.928 b=4.928 c=4.928 alpha=60.00 beta=60.00 gamma=60.00
Fractional positions:
Sb1 0.250 0.250 0.250
Sb2 0.750 0.750 0.750
Ca1 0.000 0.000 0.000
Mn1 0.500 0.500 0.500

---

# 6
CaMnSb: relaxed, GGA-PBE.

Values from the calculation:
Total DFT energy (no corrections) in eV for the cell shown: -16.18
Uncorrected formation energy in eV per formula unit: -0.9
Density of states at the Fermi level in states/eV per cell: 2.1

Unit cell a=4.573 b=4.573 c=4.320 alpha=90.00 beta=90.00 gamma=120.00
Last column: magnetic moment on the atom in μB.
Fractional positions:
Sb1 0.667 0.333 0.500  -0.01
Ca1 0.000 0.000 0.000  -0.02
Mn1 0.333 0.667 0.500  3.73

---

# 7
CaMnSb2: relaxed, GGA-PBE.

Values from the calculation:
Total DFT energy (no corrections) in eV for the cell shown: -19.94
Uncorrected formation energy in eV per formula unit: -0.5
Density of states at the Fermi level in states/eV per cell: 2.6

Unit cell a=4.019 b=4.019 c=6.564 alpha=90.00 beta=90.00 gamma=90.00
Last column: magnetic moment on the atom in μB.
Fractional positions:
Sb1 0.000 0.000 0.929  -0.11
Sb2 0.500 0.500 0.264  -0.07
Ca1 0.000 0.000 0.453  -0.01
Mn1 0.500 0.500 0.853  3.76

---

# 8
CaMnSb: relaxed, GGA-PBE.

Values from the calculation:
Total DFT energy (no corrections) in eV for the cell shown: -15.48
Uncorrected formation energy in eV per formula unit: -0.2
Density of states at the Fermi level in states/eV per cell: 3.6

Unit cell a=6.046 b=6.047 c=3.686 alpha=72.25 beta=72.26 gamma=35.49
Last column: magnetic moment on the atom in μB.
Fractional positions:
Sb1 0.702 0.702 0.298  -0.09
Ca1 0.000 0.000 0.000  -0.04
Mn1 0.298 0.298 0.702  3.57